Model one:
Cu2Au2S after structural relaxation, computed with PBE-GGA.

Cell lengths 6.782, 6.782, 3.609 Å; angles 90.00, 90.00, 90.00 degrees
Sites, in units of the cell vectors:
Cu 0.142 0.358 0.000
Cu 0.358 0.858 0.000
Cu 0.642 0.142 0.000
Cu 0.858 0.642 0.000
Au 0.153 0.653 0.500
Au 0.347 0.153 0.500
Au 0.653 0.847 0.500
Au 0.847 0.347 0.500
S 0.000 0.000 0.500
S 0.500 0.500 0.500

Output
Density = 11.1 g/cm3
Magnetization = 0.000 μB/atom
Symmetry = P4/mbm, No. 127

Model two:
Cu2Au2S after structural relaxation, computed with PBE-GGA.

Cell lengths 6.194, 6.194, 4.142 Å; angles 90.00, 90.00, 90.00 degrees
Sites, in units of the cell vectors:
Cu 0.147 0.353 0.000
Cu 0.353 0.853 0.000
Cu 0.647 0.147 0.000
Cu 0.853 0.647 0.000
Au 0.156 0.656 0.500
Au 0.344 0.156 0.500
Au 0.656 0.844 0.500
Au 0.844 0.344 0.500
S 0.000 0.000 0.000
S 0.500 0.500 0.000

Output
Density = 11.6 g/cm3
Magnetization = 0.000 μB/atom
Symmetry = P4/mbm, No. 127

Stability, lowest: model one

Model one:
Cu2SbAu2 after structural relaxation, computed with PBE-GGA.

Cell lengths 6.630, 6.630, 6.630 Å; angles 145.72, 145.72, 49.27 degrees
Sites, in units of the cell vectors:
Cu 0.098 0.098 0.000
Cu 0.902 0.902 0.000
Sb 0.500 0.500 0.000
Au 0.250 0.750 0.500
Au 0.750 0.250 0.500

Output
Density = 11.6 g/cm3
Magnetization = 0.000 μB/atom
Symmetry = I4/mmm, No. 139

Model two:
Cu2SbAu2 after structural relaxation, computed with PBE-GGA.

Cell lengths 7.278, 7.278, 3.265 Å; angles 90.00, 90.00, 90.00 degrees
Sites, in units of the cell vectors:
Cu 0.131 0.369 0.000
Cu 0.369 0.869 0.000
Cu 0.631 0.131 0.000
Cu 0.869 0.631 0.000
Sb 0.000 0.000 0.000
Sb 0.500 0.500 0.000
Au 0.161 0.661 0.500
Au 0.339 0.161 0.500
Au 0.661 0.839 0.500
Au 0.839 0.339 0.500

Output
Density = 12.3 g/cm3
Magnetization = 0.000 μB/atom
Symmetry = P4/mbm, No. 127

Model three:
Cu2SbAu2 after structural relaxation, computed with PBE-GGA.

Cell lengths 7.381, 7.381, 7.381 Å; angles 151.44, 151.44, 40.84 degrees
Sites, in units of the cell vectors:
Cu 0.250 0.750 0.500
Cu 0.750 0.250 0.500
Sb 0.000 0.000 0.000
Au 0.390 0.390 0.000
Au 0.610 0.610 0.000

Output
Density = 11.6 g/cm3
Magnetization = 0.000 μB/atom
Symmetry = I4/mmm, No. 139

Stability, lowest: model one

Model one:
CuSb4Au after structural relaxation, computed with PBE-GGA.

Cell lengths 6.647, 6.639, 6.621 Å; angles 90.00, 90.00, 90.00 degrees
Sites, in units of the cell vectors:
Cu 0.000 0.000 0.000
Cu 0.000 0.500 0.500
Sb 0.118 0.133 0.632
Sb 0.118 0.367 0.132
Sb 0.362 0.620 0.621
Sb 0.362 0.880 0.121
Sb 0.638 0.120 0.879
Sb 0.638 0.380 0.379
Sb 0.882 0.633 0.868
Sb 0.882 0.867 0.368
Au 0.500 0.000 0.500
Au 0.500 0.500 0.000

Output
Density = 8.5 g/cm3
Magnetization = 0.000 μB/atom
Symmetry = P2_1/c, No. 14

Model two:
CuSb4Au after structural relaxation, computed with PBE-GGA.

Cell lengths 6.119, 6.119, 6.119 Å; angles 60.00, 60.00, 60.00 degrees
Sites, in units of the cell vectors:
Cu 0.000 0.000 0.000
Sb 0.127 0.624 0.624
Sb 0.624 0.127 0.624
Sb 0.624 0.624 0.127
Sb 0.624 0.624 0.624
Au 0.250 0.250 0.250

Output
Density = 7.7 g/cm3
Magnetization = 0.000 μB/atom
Symmetry = F-43m, No. 216

Stability, lowest: model two

Model one:
CuSb3Au after structural relaxation, computed with PBE-GGA.

Cell lengths 7.008, 7.008, 5.447 Å; angles 90.00, 90.00, 120.00 degrees
Sites, in units of the cell vectors:
Cu 0.000 0.000 0.000
Cu 0.000 0.000 0.500
Sb 0.370 0.063 0.250
Sb 0.370 0.307 0.750
Sb 0.693 0.063 0.750
Sb 0.693 0.630 0.250
Sb 0.937 0.307 0.250
Sb 0.937 0.630 0.750
Au 0.333 0.667 0.000
Au 0.333 0.667 0.500

Output
Density = 9.0 g/cm3
Magnetization = 0.000 μB/atom
Symmetry = P-6c2, No. 188

Model two:
CuSb3Au after structural relaxation, computed with PBE-GGA.

Cell lengths 5.055, 5.055, 5.055 Å; angles 90.00, 90.00, 90.00 degrees
Sites, in units of the cell vectors:
Cu 0.000 0.000 0.000
Sb 0.000 0.000 0.500
Sb 0.000 0.500 0.000
Sb 0.500 0.000 0.000
Au 0.500 0.500 0.500

Output
Density = 8.0 g/cm3
Magnetization = 0.000 μB/atom
Symmetry = Pm-3m, No. 221

Stability, lowest: model two

Model one:
Cu2Sb2Au after structural relaxation, computed with PBE-GGA.

Cell lengths 7.700, 7.700, 3.412 Å; angles 90.00, 90.00, 90.00 degrees
Sites, in units of the cell vectors:
Cu 0.114 0.386 0.000
Cu 0.386 0.886 0.000
Cu 0.614 0.114 0.000
Cu 0.886 0.614 0.000
Sb 0.185 0.685 0.500
Sb 0.315 0.185 0.500
Sb 0.685 0.815 0.500
Sb 0.815 0.315 0.500
Au 0.000 0.000 0.500
Au 0.500 0.500 0.500

Output
Density = 9.3 g/cm3
Magnetization = 0.000 μB/atom
Symmetry = P4/mbm, No. 127

Model two:
Cu2Sb2Au after structural relaxation, computed with PBE-GGA.

Cell lengths 6.958, 6.958, 3.912 Å; angles 90.00, 90.00, 90.00 degrees
Sites, in units of the cell vectors:
Cu 0.129 0.371 0.000
Cu 0.371 0.871 0.000
Cu 0.629 0.129 0.000
Cu 0.871 0.629 0.000
Sb 0.172 0.672 0.500
Sb 0.328 0.172 0.500
Sb 0.672 0.828 0.500
Sb 0.828 0.328 0.500
Au 0.000 0.000 0.000
Au 0.500 0.500 0.000

Output
Density = 10.0 g/cm3
Magnetization = 0.000 μB/atom
Symmetry = P4/mbm, No. 127

Stability, lowest: model one

Model one:
Cu2Sb2Au after structural relaxation, computed with PBE-GGA.

Cell lengths 8.444, 8.444, 8.444 Å; angles 156.01, 156.01, 34.19 degrees
Sites, in units of the cell vectors:
Cu 0.250 0.750 0.500
Cu 0.750 0.250 0.500
Sb 0.116 0.116 0.000
Sb 0.884 0.884 0.000
Au 0.500 0.500 0.000

Output
Density = 9.5 g/cm3
Magnetization = 0.000 μB/atom
Symmetry = I4/mmm, No. 139

Model two:
Cu2Sb2Au after structural relaxation, computed with PBE-GGA.

Cell lengths 5.261, 5.261, 5.261 Å; angles 120.03, 120.03, 89.94 degrees
Sites, in units of the cell vectors:
Cu 0.157 0.157 0.000
Cu 0.843 0.843 0.000
Sb 0.250 0.750 0.500
Sb 0.750 0.250 0.500
Au 0.500 0.500 0.000

Output
Density = 9.2 g/cm3
Magnetization = 0.000 μB/atom
Symmetry = I4/mmm, No. 139

Stability, lowest: model two

Model one:
CuSi2Au after structural relaxation, computed with PBE-GGA.

Cell lengths 3.543, 3.061, 6.071 Å; angles 90.00, 106.92, 90.00 degrees
Sites, in units of the cell vectors:
Cu 0.000 0.000 0.000
Si 0.391 0.500 0.790
Si 0.787 0.000 0.588
Au 0.619 0.500 0.238

Output
Density = 8.3 g/cm3
Magnetization = 0.000 μB/atom
Symmetry = Pm, No. 6

Model two:
CuSi2Au after structural relaxation, computed with PBE-GGA.

Cell lengths 7.866, 7.866, 7.866 Å; angles 22.22, 22.22, 22.22 degrees
Sites, in units of the cell vectors:
Cu 0.000 0.000 0.000
Si 0.256 0.256 0.256
Si 0.744 0.744 0.744
Au 0.500 0.500 0.500

Output
Density = 8.6 g/cm3
Magnetization = 0.000 μB/atom
Symmetry = R-3m, No. 166

Stability, lowest: model two

Model one:
CuSi2Au after structural relaxation, computed with PBE-GGA.

Cell lengths 5.170, 5.170, 3.749 Å; angles 111.15, 111.15, 117.85 degrees
Sites, in units of the cell vectors:
Cu 0.000 0.000 0.000
Si 0.000 0.500 0.500
Si 0.500 0.000 0.500
Au 0.500 0.500 0.000

Output
Density = 8.3 g/cm3
Magnetization = 0.000 μB/atom
Symmetry = C2/m, No. 12

Model two:
CuSi2Au after structural relaxation, computed with PBE-GGA.

Cell lengths 3.532, 3.532, 4.922 Å; angles 90.00, 90.00, 90.00 degrees
Sites, in units of the cell vectors:
Cu 0.000 0.000 0.000
Si 0.000 0.000 0.479
Si 0.500 0.500 0.252
Au 0.500 0.500 0.757

Output
Density = 8.6 g/cm3
Magnetization = 0.000 μB/atom
Symmetry = P4mm, No. 99

Model three:
CuSi2Au after structural relaxation, computed with PBE-GGA.

Cell lengths 3.937, 3.937, 3.917 Å; angles 90.00, 90.00, 90.00 degrees
Sites, in units of the cell vectors:
Cu 0.000 0.000 0.000
Si 0.000 0.500 0.500
Si 0.500 0.000 0.500
Au 0.500 0.500 0.000

Output
Density = 8.7 g/cm3
Magnetization = 0.000 μB/atom
Symmetry = P4/mmm, No. 123

Stability, lowest: model three

Model one:
CuSi2Au after structural relaxation, computed with PBE-GGA.

Cell lengths 5.057, 5.057, 4.284 Å; angles 92.97, 92.97, 34.21 degrees
Sites, in units of the cell vectors:
Cu 0.000 0.000 0.000
Si 0.236 0.236 0.280
Si 0.482 0.482 0.484
Au 0.728 0.728 0.786

Output
Density = 8.6 g/cm3
Magnetization = 0.000 μB/atom
Symmetry = Cm, No. 8

Model two:
CuSi2Au after structural relaxation, computed with PBE-GGA.

Cell lengths 7.656, 7.656, 7.656 Å; angles 23.19, 23.19, 23.19 degrees
Sites, in units of the cell vectors:
Cu 0.000 0.000 0.000
Si 0.488 0.488 0.488
Si 0.740 0.740 0.740
Au 0.239 0.239 0.239

Output
Density = 8.6 g/cm3
Magnetization = 0.000 μB/atom
Symmetry = R3m, No. 160

Stability, lowest: model one

Model one:
CuSi2Au after structural relaxation, computed with PBE-GGA.

Cell lengths 2.842, 3.871, 5.473 Å; angles 90.00, 90.00, 90.00 degrees
Sites, in units of the cell vectors:
Cu 0.000 0.000 0.000
Si 0.000 0.000 0.448
Si 0.500 0.500 0.172
Au 0.500 0.500 0.696

Output
Density = 8.7 g/cm3
Magnetization = 0.000 μB/atom
Symmetry = Pmm2, No. 25

Model two:
CuSi2Au after structural relaxation, computed with PBE-GGA.

Cell lengths 4.462, 4.462, 4.462 Å; angles 60.00, 60.00, 60.00 degrees
Sites, in units of the cell vectors:
Cu 0.000 0.000 0.000
Si 0.250 0.250 0.250
Si 0.750 0.750 0.750
Au 0.500 0.500 0.500

Output
Density = 8.4 g/cm3
Magnetization = 0.000 μB/atom
Symmetry = Fm-3m, No. 225

Model three:
CuSi2Au after structural relaxation, computed with PBE-GGA.

Cell lengths 4.247, 4.247, 5.177 Å; angles 101.39, 101.39, 41.30 degrees
Sites, in units of the cell vectors:
Cu 0.000 0.000 0.000
Si 0.252 0.252 0.781
Si 0.748 0.748 0.219
Au 0.500 0.500 0.500

Output
Density = 8.7 g/cm3
Magnetization = 0.000 μB/atom
Symmetry = C2/m, No. 12

Model four:
CuSi2Au after structural relaxation, computed with PBE-GGA.

Cell lengths 5.896, 5.896, 5.896 Å; angles 116.54, 116.54, 96.11 degrees
Sites, in units of the cell vectors:
Cu 0.000 0.000 0.000
Cu 0.750 0.250 0.500
Si 0.107 0.625 0.982
Si 0.375 0.357 0.482
Si 0.643 0.125 0.018
Si 0.875 0.893 0.518
Au 0.250 0.750 0.500
Au 0.500 0.500 0.000

Output
Density = 6.9 g/cm3
Magnetization = 0.000 μB/atom
Symmetry = I-42d, No. 122

Stability, lowest: model four

Model one:
CuSi2Au after structural relaxation, computed with PBE-GGA.

Cell lengths 2.988, 2.988, 8.831 Å; angles 90.00, 90.00, 126.95 degrees
Sites, in units of the cell vectors:
Cu 0.000 0.000 0.000
Si 0.500 0.500 0.233
Si 0.500 0.500 0.767
Au 0.000 0.000 0.500

Output
Density = 8.3 g/cm3
Magnetization = 0.000 μB/atom
Symmetry = Cmmm, No. 65

Model two:
CuSi2Au after structural relaxation, computed with PBE-GGA.

Cell lengths 3.074, 3.767, 5.303 Å; angles 90.00, 90.00, 90.00 degrees
Sites, in units of the cell vectors:
Cu 0.000 0.000 0.000
Si 0.500 0.500 0.233
Si 0.500 0.500 0.767
Au 0.000 0.000 0.500

Output
Density = 8.6 g/cm3
Magnetization = 0.000 μB/atom
Symmetry = Pmmm, No. 47

Model three:
CuSi2Au after structural relaxation, computed with PBE-GGA.

Cell lengths 2.802, 2.802, 7.609 Å; angles 90.00, 90.00, 90.00 degrees
Sites, in units of the cell vectors:
Cu 0.000 0.000 0.000
Si 0.000 0.000 0.460
Si 0.500 0.500 0.206
Au 0.500 0.500 0.735

Output
Density = 8.8 g/cm3
Magnetization = 0.000 μB/atom
Symmetry = P4mm, No. 99

Stability, lowest: model one